[1]
Here is a relaxed structure of NdTaP2 from Alexandria. Energies are from GGA-PBE.

abc: 3.8147 3.8147 6.7121
angles: 73.49 73.49 60.00
With the nearest neighbours (Å) after each atom.
Positions (direct):
P1 0.7371 0.7371 0.7886  3 Ta 2.58, 3 Nd 2.86
Nd1 0.5000 0.5000 0.5000  6 P 2.86
Ta1 0.0000 0.0000 0.0000  6 P 2.58
P2 0.2629 0.2629 0.2114  3 Ta 2.58, 3 Nd 2.86

## Properties
Crystal system: trigonal

=====

[2]
Here is a relaxed structure of LiAu2Se from Alexandria. Energies are from GGA-PBE.

abc: 3.6415 3.6415 5.5230
angles: 90.00 90.00 90.00
With the nearest neighbours (Å) after each atom.
Positions (direct):
Li1 0.0000 0.0000 0.5237  6 Au 2.75-3.02, 4 Se 2.78
Au1 0.5000 0.5000 0.2367  2 Se 2.63-2.89, 4 Au 2.83
Se1 0.5000 0.5000 0.7136  2 Au 2.63-2.89, 4 Li 2.78
Au2 0.0000 0.0000 0.0260  2 Li 2.75-2.77, 4 Au 2.83

## Properties
ΔE to the lowest computed polymorph (meV/atom): 72.6
Crystal system: tetragonal
Formation energy from raw total energies (eV per atom): -0.242

=====

[3]
Here is a relaxed structure of RbSr2OsO5 from Alexandria. Energies are from GGA-PBE.

abc: 3.8685 6.3178 6.8907
angles: 117.29 106.30 90.00
With the nearest neighbours (Å) after each atom.
Positions (direct):
Os1 0.5000 0.0000 0.0000  6 O 1.93-2.03
O1 0.3705 0.0853 0.7410  1 Os 2.03
Sr1 0.2230 0.2230 0.4461  7 O 2.49-2.60
O2 0.6295 0.3443 0.2590  1 Os 2.03
O3 0.3705 0.6557 0.7410  1 Os 2.03
Rb1 0.0000 0.5000 0.0000  10 O 3.04-3.16
O4 0.0000 0.0000 0.0000  2 Os 1.93
Sr2 0.7770 0.7770 0.5539  7 O 2.49-2.60
O5 0.6295 0.9147 0.2590  1 Os 2.03

## Properties
Crystal system: orthorhombic
Formation energy from raw total energies (eV per atom): -1.945

=====

[4]
Here is a relaxed structure of Pa2Ni15Sb2 from Alexandria. Energies are from GGA-PBE.

abc: 6.4595 6.4595 6.4595
angles: 81.74 81.74 81.74
With the nearest neighbours (Å) after each atom.
Positions (direct):
Ni1 0.0000 0.3179 0.6821  8 Ni 2.51-2.69
Ni2 0.6821 0.3179 0.0000  8 Ni 2.51-2.69
Ni3 0.6575 0.1748 0.6575  8 Ni 2.36-2.58, 1 Pa 2.59
Ni4 0.0000 0.6821 0.3179  8 Ni 2.51-2.69
Sb1 0.3719 0.3719 0.3719  12 Ni 2.84-2.93, 1 Pa 3.14
Ni5 0.8252 0.3425 0.3425  8 Ni 2.36-2.58, 1 Pa 2.59
Ni6 0.3179 0.6821 0.0000  8 Ni 2.51-2.69
Ni7 0.5000 0.0000 0.0000  8 Ni 2.48-2.51, 2 Pa 2.50
Ni8 0.6821 0.0000 0.3179  8 Ni 2.51-2.69
Ni9 0.0000 0.5000 0.0000  8 Ni 2.48-2.51, 2 Pa 2.50
Pa1 0.1243 0.1243 0.1243  6 Ni 2.50-2.59
Ni10 0.6575 0.6575 0.1748  8 Ni 2.36-2.58, 1 Pa 2.59
Ni11 0.3179 0.0000 0.6821  8 Ni 2.51-2.69
Sb2 0.6281 0.6281 0.6281  12 Ni 2.84-2.93, 1 Pa 3.14
Ni12 0.3425 0.3425 0.8252  8 Ni 2.36-2.58, 1 Pa 2.59
Ni13 0.3425 0.8252 0.3425  8 Ni 2.36-2.58, 1 Pa 2.59
Ni14 0.1748 0.6575 0.6575  8 Ni 2.36-2.58, 1 Pa 2.59
Pa2 0.8757 0.8757 0.8757  6 Ni 2.50-2.59
Ni15 0.0000 0.0000 0.5000  8 Ni 2.48-2.51, 2 Pa 2.50

## Properties
Crystal system: trigonal
Formation energy from raw total energies (eV per atom): -0.115

=====

[5]
Here is a relaxed structure of NbCoNiRu from Alexandria. Energies are from GGA-PBE.

abc: 3.7304 3.7709 3.7747
angles: 90.00 90.00 90.00
With the nearest neighbours (Å) after each atom.
Positions (direct):
Ni1 0.0000 0.5000 0.5000  4 Co 2.65, 4 Ru 2.65, 4 Nb 2.67
Nb1 0.0000 0.0000 0.0000  4 Ru 2.65, 4 Co 2.65, 4 Ni 2.67
Co1 0.5000 0.0000 0.5000  4 Ni 2.65, 4 Nb 2.65, 4 Ru 2.67
Ru1 0.5000 0.5000 0.0000  4 Nb 2.65, 4 Ni 2.65, 4 Co 2.67

## Properties
Crystal system: orthorhombic

=====

[6]
Here is a relaxed structure of Li3Sn2Bi from Alexandria. Energies are from GGA-PBE.

abc: 3.4617 3.4617 10.8336
angles: 90.00 90.00 90.00
With the nearest neighbours (Å) after each atom.
Positions (direct):
Sn1 0.5000 0.5000 0.1560  8 Li 2.97-3.00
Sn2 0.5000 0.5000 0.8440  8 Li 2.97-3.00
Li1 0.0000 0.0000 0.0000  8 Sn 2.97
Li2 0.0000 0.0000 0.6843  4 Sn 3.00, 4 Bi 3.16
Bi1 0.5000 0.5000 0.5000  8 Li 3.16, 4 Bi 3.46
Li3 0.0000 0.0000 0.3157  4 Sn 3.00, 4 Bi 3.16

## Properties
Crystal system: tetragonal

=====

Number 1: uncorrected energy -7.88 eV/atom. Number 2: uncorrected energy -3.23 eV/atom. Number 3: uncorrected energy -6.43 eV/atom. Number 4: uncorrected energy -6.11 eV/atom. Number 5: uncorrected energy -8.25 eV/atom. Number 6: uncorrected energy -3.27 eV/atom.